Compound: LaAlCl2
Source: Alexandria
Functional: PBE
Structure: relaxed

Cell and atoms, written as POSCAR:
```
LaAlCl2
1.0
3.5146 -1.1721 3.5496
0.3840 2.8301 4.2625
-1.4644 -1.9496 4.5145
Al Cl La
1 2 1
direct
0.0000 0.0000 0.0000 Al
0.2500 0.2500 0.2500 Cl
0.7500 0.7500 0.7500 Cl
0.5000 0.5000 0.5000 La
```

Summary:
**Space group**: Fm-3m
**Uncorrected formation energy**: -913 meV/atom
**Distance to the lowest polymorph of the same formula**: 252 meV per atom
**V**: 23.9 Å³/atom
**Total moment**: 1.4 μB per formula unit